No. 1
A plane-wave DFT calculation with PBE was carried out for a relaxed DyY2Au3 crystal.

Results
Formation energy from the elements ... -0.865 eV per atom
V ... 23.4 A^3/atom
M_tot ... 0.00 μB per formula unit

Unit cell a=3.585 b=3.585 c=10.918 alpha=90.00 beta=90.00 gamma=90.00
Positions (direct):
Dy (0.500, 0.500, 0.500)
Y (0.500, 0.500, 0.833)
Y (0.500, 0.500, 0.167)
Au (0.000, 0.000, 0.000)
Au (0.000, 0.000, 0.665)
Au (0.000, 0.000, 0.335)

No. 2
A plane-wave DFT calculation with PBE was carried out for a relaxed Tm4Bi3 crystal.

Results
Formation energy from the elements ... -0.443 eV per atom
V ... 29.4 A^3/atom
M_tot ... 0.49 μB per formula unit

Unit cell a=4.236 b=4.236 c=11.860 alpha=100.29 beta=100.29 gamma=90.00
Each line ends with the local moment (μB).
Positions (direct):
Tm (0.158, 0.158, 0.317)  0.06
Tm (0.429, 0.429, 0.858)  0.12
Tm (0.571, 0.571, 0.142)  0.12
Tm (0.842, 0.842, 0.683)  0.06
Bi (0.000, 0.000, 0.000)  -0.01
Bi (0.298, 0.298, 0.596)  0.00
Bi (0.702, 0.702, 0.404)  0.00

No. 3
A plane-wave DFT calculation with PBE was carried out for a relaxed CsSbH2 crystal.

Results
E_tot ... -3.05 eV per atom
V ... 31.2 A^3/atom
M_tot ... 0.00 μB per formula unit

Unit cell a=6.024 b=5.437 c=8.311 alpha=90.00 beta=113.53 gamma=90.00
Positions (direct):
Cs (0.000, 0.301, 0.000)
Cs (0.000, 0.801, 0.500)
Sb (0.500, 0.310, 0.500)
Sb (0.500, 0.810, 0.000)
H (0.479, 0.080, 0.346)
H (0.521, 0.080, 0.654)
H (0.479, 0.580, 0.846)
H (0.521, 0.580, 0.154)

No. 4
A plane-wave DFT calculation with PBE was carried out for a relaxed ReMo2Ir crystal.

Results
Formation energy from the elements ... 0.033 eV per atom
V ... 15.4 A^3/atom
M_tot ... 0.00 μB per formula unit

Unit cell a=4.062 b=2.712 c=6.025 alpha=68.22 beta=90.00 gamma=90.00
Positions (direct):
Ir (0.500, 0.742, 0.754)
Mo (0.000, 0.069, 0.987)
Mo (0.500, 0.260, 0.257)
Re (0.000, 0.429, 0.503)

- Which value of V does entry 1 give?
  23.4 A^3/atom